Record 1
Compound: Rb3La3YTe8
Source: Alexandria via LeMat-Bulk
Functional: PBE
Structure: optimized geometry

The structure belongs to space group C2/m (No. 12); the cell edges are 16.068, 9.266 and 10.255 Å and the angles 90.00°, 121.53° and 90.00°. The asymmetric unit holds Rb at (0.000, 0.000, 0.000), Rb at (0.250, 0.250, 0.000), La at (0.000, 0.500, 0.500), La at (0.250, 0.250, 0.500), Y at (0.000, 0.000, 0.500), Te at (0.014, 0.242, 0.300), Te at (0.228, 0.000, 0.700) and Te at (0.236, 0.500, 0.708).

As for the magnetic moment: 0.0 μB per formula unit. As for the uncorrected formation energy: -1.380 eV/atom.

Record 2
Compound: Rb3La3ZrTe8
Source: Alexandria via LeMat-Bulk
Functional: PBE
Structure: optimized geometry

The structure belongs to space group R-3m (No. 166, hexagonal axes); the cell edges are 9.1969, 9.1969 and 26.2127 Å and the angles 90.00°, 90.00° and 120.00°. The asymmetric unit holds Rb at (0.0000, 0.5000, 0.0000), La at (0.0000, 0.5000, 0.5000), Zr at (0.0000, 0.0000, 0.5000), Te at (0.0000, 0.0000, 0.2362) and Te at (0.0256, 0.5128, 0.2314).

As for the magnetic moment: 0.0 μB per formula unit. As for the uncorrected formation energy: -1.343 eV/atom.

Record 3
Compound: Rb3La2ZrTe6
Source: Alexandria via LeMat-Bulk
Functional: PBE
Structure: optimized geometry

The structure belongs to space group C2/m (No. 12); the cell edges are 7.932, 13.748 and 8.985 Å and the angles 90.00°, 107.24° and 90.00°. The asymmetric unit holds Rb at (0.000, 0.000, 0.000), Rb at (0.000, 0.328, 0.000), La at (0.000, 0.166, 0.500), Zr at (0.000, 0.500, 0.500), Te at (0.223, 0.344, 0.702) and Te at (0.243, 0.500, 0.296).

As for the magnetic moment: 1.0 μB per formula unit. As for the uncorrected formation energy: -1.275 eV/atom.

Record 4
Compound: RbLaTi3
Source: Alexandria via LeMat-Bulk
Functional: PBE
Structure: optimized geometry

The structure belongs to space group Pm-3m (No. 221); the cell edges are 5.160, 5.160 and 5.160 Å and the angles 90.00°, 90.00° and 90.00°. The asymmetric unit holds Rb at (0.000, 0.000, 0.000), La at (0.500, 0.500, 0.500) and Ti at (0.000, 0.500, 0.500).

As for the magnetic moment: 0.3 μB per formula unit. The energy relative to the lowest polymorph listed for this composition is 0 meV/atom.

Record 5
Compound: RbLa3Ti
Source: Alexandria via LeMat-Bulk
Functional: PBE
Structure: optimized geometry

The structure belongs to space group Pm-3m (No. 221); the cell edges are 5.692, 5.692 and 5.692 Å and the angles 90.00°, 90.00° and 90.00°. The asymmetric unit holds Rb at (0.000, 0.000, 0.000), La at (0.000, 0.000, 0.500) and Ti at (0.500, 0.500, 0.500).

As for the magnetic moment: 2.4 μB per formula unit. The energy relative to the lowest polymorph listed for this composition is 898 meV/atom.

Record 6
Compound: RbLa3Ti
Source: Alexandria via LeMat-Bulk
Functional: PBE
Structure: optimized geometry

The structure belongs to space group Pm-3m (No. 221); the cell edges are 5.860, 5.860 and 5.860 Å and the angles 90.00°, 90.00° and 90.00°. The asymmetric unit holds Rb at (0.000, 0.000, 0.000), La at (0.000, 0.500, 0.500) and Ti at (0.500, 0.500, 0.500).

As for the magnetic moment: 0.0 μB per formula unit. The energy relative to the lowest polymorph listed for this composition is 0 meV/atom.

Record 7
Compound: Rb3LaTi
Source: Alexandria via LeMat-Bulk
Functional: PBE
Structure: optimized geometry

The structure belongs to space group Pm-3m (No. 221); the cell edges are 7.092, 7.092 and 7.092 Å and the angles 90.00°, 90.00° and 90.00°. The asymmetric unit holds Rb at (0.000, 0.000, 0.500), La at (0.000, 0.000, 0.000) and Ti at (0.500, 0.500, 0.500).

As for the magnetic moment: 6.4 μB per formula unit. As for the final energy: -1.558 eV/atom.

Record 8
Compound: RbLaYTi2
Source: Alexandria via LeMat-Bulk
Functional: PBE
Structure: optimized geometry

The structure belongs to space group P4/mmm (No. 123); the cell edges are 5.101, 5.101 and 5.527 Å and the angles 90.00°, 90.00° and 90.00°. The asymmetric unit holds Rb at (0.000, 0.000, 0.000), La at (0.000, 0.000, 0.500), Y at (0.500, 0.500, 0.500) and Ti at (0.000, 0.500, 0.000).

As for the magnetic moment: 2.9 μB per formula unit. As for the final energy: -4.101 eV/atom.